No. 1
VASP calculation (GGA-PBE) on a relaxed Rb3LiSi crystal.

Unit cell a=6.888 b=6.888 c=6.888 alpha=90.00 beta=90.00 gamma=90.00
Space group Pm-3m (No. 221)
One atom of each set of equivalent atoms:
Rb 0.000 0.000 0.500 x3
Li 0.500 0.500 0.500 x1
Si 0.000 0.000 0.000 x1

For the polymorph energy (0 for the lowest one), the calculation gives 0 meV per atom. Its density of states at the Fermi level is 2.703 states/eV/f.u. The value obtained for the formation energy from raw total energies is 0.4392 eV per atom. The total moment comes out at 0.400 μB/atom.

---

No. 2
VASP calculation (GGA-PBE) on a relaxed RbLiSi2 crystal.

Unit cell a=7.273 b=7.273 c=7.273 alpha=90.00 beta=90.00 gamma=90.00
Space group Fm-3m (No. 225)
One atom of each set of equivalent atoms:
Rb 0.000 0.000 0.000 x4
Li 0.000 0.000 0.500 x4
Si 0.250 0.250 0.250 x8

For the polymorph energy (0 for the lowest one), the calculation gives 473 meV per atom. Its density of states at the Fermi level is 0.245 states/eV/f.u. The value obtained for the formation energy from raw total energies is 0.7365 eV per atom. The total moment comes out at 0.000 μB/atom.

---

No. 3
VASP calculation (GGA-PBE) on a relaxed RbLi3Si crystal.

Unit cell a=5.078 b=5.078 c=5.078 alpha=90.00 beta=90.00 gamma=90.00
Space group Pm-3m (No. 221)
One atom of each set of equivalent atoms:
Rb 0.000 0.000 0.000 x1
Li 0.000 0.500 0.500 x3
Si 0.500 0.500 0.500 x1

For the polymorph energy (0 for the lowest one), the calculation gives 0 meV per atom. Its density of states at the Fermi level is 0.001 states/eV/f.u. The value obtained for the formation energy from raw total energies is -0.0780 eV per atom. The total moment comes out at 0.000 μB/atom.

---

No. 4
VASP calculation (GGA-PBE) on a relaxed RbLiSi2 crystal.

Unit cell a=4.832 b=4.832 c=19.115 alpha=90.00 beta=90.00 gamma=90.00
Space group I-42d (No. 122)
One atom of each set of equivalent atoms:
Rb 0.000 0.000 0.000 x4
Li 0.000 0.000 0.500 x4
Si 0.002 0.750 0.625 x8

For the polymorph energy (0 for the lowest one), the calculation gives 0 meV per atom. Its density of states at the Fermi level is 1.283 states/eV/f.u. The value obtained for the formation energy from raw total energies is 0.2639 eV per atom. The total moment comes out at 0.000 μB/atom.

---

No. 5
VASP calculation (GGA-PBE) on a relaxed RbLi2Si crystal.

Unit cell a=5.616 b=5.616 c=16.859 alpha=90.00 beta=90.00 gamma=90.00
Space group I4_1/amd (No. 141, origin choice 2)
One atom of each set of equivalent atoms:
Rb 0.000 0.250 0.375 x4
Li 0.000 0.000 0.000 x8
Si 0.000 0.250 0.875 x4

Its density of states at the Fermi level is 1.858 states/eV/f.u. The value obtained for the formation energy from raw total energies is 0.2075 eV per atom. The total moment comes out at 0.249 μB/atom.

---

No. 6
VASP calculation (GGA-PBE) on a relaxed RbLi3Si crystal.

Unit cell a=4.950 b=4.950 c=4.950 alpha=90.00 beta=90.00 gamma=90.00
Space group Pm-3m (No. 221)
One atom of each set of equivalent atoms:
Rb 0.000 0.000 0.000 x1
Li 0.000 0.000 0.500 x3
Si 0.500 0.500 0.500 x1

For the polymorph energy (0 for the lowest one), the calculation gives 1108 meV per atom. Its density of states at the Fermi level is 0.543 states/eV/f.u. The value obtained for the formation energy from raw total energies is 1.0296 eV per atom. The total moment comes out at 0.000 μB/atom.